No. 1
Here is crystalline Y2SnGeIr at its relaxed geometry from Alexandria. Energies are from GGA-PBE.

The structure in extended XYZ format:
```
5
Lattice="5.319 0.000 0.000 0.000 5.319 0.000 0.000 0.000 4.914" Properties=species:S:1:pos:R:3 pbc="T T T"
Y 0.000 2.660 0.000
Y 2.660 0.000 0.000
Sn 0.000 0.000 2.457
Ge 0.000 0.000 0.000
Ir 2.660 2.660 2.457
```

Values from the calculation:
Fermi-level density of states	0.65	states/eV/atom
electronic total energy	-5.66	eV/atom
formation energy from the elements	205	kJ/mol of formula units

***

No. 2
Here is crystalline KRbMg2B at its relaxed geometry from Alexandria. Energies are from GGA-PBE.

The structure in extended XYZ format:
```
5
Lattice="4.860 0.000 0.000 0.000 4.860 0.000 0.000 0.000 6.484" Properties=species:S:1:pos:R:3 pbc="T T T"
K 0.000 0.000 0.000
Rb 2.430 2.430 0.000
Mg 0.000 2.430 3.242
Mg 2.430 0.000 3.242
B 2.430 2.430 3.242
```

Values from the calculation:
Fermi-level density of states	0.64	states/eV/atom
electronic total energy	-1.83	eV/atom
formation energy from the elements	267	kJ/mol of formula units

***

Look up the Fermi-level density of states of the first one. 0.65 states/eV/atom

***

Which value of Fermi-level density of states does entry 1 give? 0.65 states/eV/atom

***

Among the records above, which one has the lowest Fermi-level density of states? KRbMg2B